# BiAs2HSe

A relaxed structure of BiAs2HSe (PBE-GGA, Alexandria).

E above lowest polymorph = 4.34 eV per formula unit
Space group = P4/mmm (123)
Total magnetic moment = 2.95 μB per formula unit

abc: 5.6075 5.6075 5.6367
angles: 90.00 90.00 90.00
Sites, in units of the cell vectors:
H 0.5000 0.5000 0.5000
As 0.5000 0.0000 0.0000
As 0.0000 0.5000 0.0000
Bi 0.0000 0.0000 0.0000
Se 0.0000 0.0000 0.5000

=====

# SrNbSn2O8

A relaxed structure of SrNbSn2O8 (PBE-GGA, Alexandria).

Energy relative to the elements, uncorrected = -1.93 eV/atom
Space group = P2/m (10)
Total magnetic moment = 0.70 μB per formula unit

abc: 4.9403 4.9387 6.8002
angles: 90.00 90.00 88.02
Sites, in units of the cell vectors:
O 0.7979 0.2028 0.2073
O 0.2021 0.7972 0.2073
O 0.6653 0.6668 0.5000
O 0.7979 0.2028 0.7927
O 0.7012 0.7018 0.0000
O 0.2021 0.7972 0.7927
O 0.3347 0.3332 0.5000
O 0.2988 0.2982 0.0000
Nb 0.0000 0.0000 0.0000
Sn 0.5000 0.5000 0.7604
Sn 0.5000 0.5000 0.2396
Sr 0.0000 0.0000 0.5000

=====

# Ga2Ag2Pt

A relaxed structure of Ga2Ag2Pt (PBE-GGA, Alexandria).

E above lowest polymorph = 1.08 eV per formula unit
Formation enthalpy at 0 K = 0.10 eV/atom
Space group = P4/mbm (127)
Total magnetic moment = 0.00 μB per formula unit

abc: 7.5308 7.5308 3.0095
angles: 90.00 90.00 90.00
Sites, in units of the cell vectors:
Ag 0.8688 0.6312 0.0000
Ag 0.6312 0.1312 0.0000
Ag 0.1312 0.3688 0.0000
Ag 0.3688 0.8688 0.0000
Pt 0.5000 0.5000 0.0000
Pt 0.0000 0.0000 0.0000
Ga 0.1719 0.6719 0.5000
Ga 0.3281 0.1719 0.5000
Ga 0.8281 0.3281 0.5000
Ga 0.6719 0.8281 0.5000

=====

# NdScSn2

A relaxed structure of NdScSn2 (PBE-GGA, Alexandria).

Formation enthalpy at 0 K = -0.58 eV/atom
Space group = P4/mmm (123)
Total magnetic moment = 0.00 μB per formula unit

abc: 3.9058 3.9058 6.8542
angles: 90.00 90.00 90.00
Sites, in units of the cell vectors:
Sn 0.0000 0.0000 0.7825
Sn 0.0000 0.0000 0.2175
Nd 0.5000 0.5000 0.5000
Sc 0.5000 0.5000 0.0000